The following is a DFT calculation (PBE with a Hubbard U) of a relaxed structure of MnGaBO4.

Cell: 5.1426 5.1426 5.7458 Å, 90.00 90.00 112.75°
Each line ends with the local moment (μB).
Fractional coordinates of all 14 atoms:
Ga 0.1460 0.8540 0.7500  0.01
O 0.2442 0.7558 0.0401  0.02
O 0.8207 0.7611 0.2500  0.05
Mn 0.5000 0.5000 0.5000  4.64
Mn 0.5000 0.5000 0.0000  4.64
O 0.7611 0.8207 0.7500  0.05
B 0.1452 0.8548 0.2500  0.02
Ga 0.8540 0.1460 0.2500  0.01
O 0.1793 0.2389 0.7500  0.05
O 0.7558 0.2442 0.5401  0.02
O 0.2442 0.7558 0.4599  0.02
O 0.7558 0.2442 0.9599  0.02
O 0.2389 0.1793 0.2500  0.05
B 0.8548 0.1452 0.7500  0.02

* calculated volume: 140.1 Å³ per cell
* total DFT energy (no corrections): -101.02 eV per cell